! Pd3IO | Alexandria via LeMat-Bulk | PBE-GGA | relaxed; values from VASP
&SYSTEM
  ibrav = 0, nat = 5, ntyp = 3
/
ATOMIC_SPECIES
Pd 106.42 Pd.upf
I 126.90 I.upf
O 16.00 O.upf
CELL_PARAMETERS angstrom
4.998 0.000 0.000
0.000 4.998 0.000
0.000 0.000 4.998
ATOMIC_POSITIONS crystal
Pd 0.000 0.000 0.500
Pd 0.000 0.500 0.000
Pd 0.500 0.000 0.000
I 0.000 0.000 0.000
O 0.500 0.500 0.500
! formation energy (no corrections): 1.150 eV/atom
! SG: No. 221

---

! PdPtI2O | Alexandria via LeMat-Bulk | PBE-GGA | relaxed; values from VASP
&SYSTEM
  ibrav = 0, nat = 5, ntyp = 4
/
ATOMIC_SPECIES
Pd 106.42 Pd.upf
Pt 195.08 Pt.upf
I 126.90 I.upf
O 16.00 O.upf
CELL_PARAMETERS angstrom
5.644 0.000 0.000
0.000 5.644 0.000
0.000 0.000 3.769
ATOMIC_POSITIONS crystal
Pd 0.000 0.000 0.000
Pt 0.500 0.500 0.500
I 0.000 0.500 0.500
I 0.500 0.000 0.500
O 0.500 0.500 0.000
! formation energy (no corrections): 0.268 eV/atom
! SG: No. 123

---

! PdPtI2O | Alexandria via LeMat-Bulk | PBE-GGA | relaxed; values from VASP
&SYSTEM
  ibrav = 0, nat = 5, ntyp = 4
/
ATOMIC_SPECIES
Pd 106.42 Pd.upf
Pt 195.08 Pt.upf
I 126.90 I.upf
O 16.00 O.upf
CELL_PARAMETERS angstrom
5.506 0.000 0.000
0.000 5.506 0.000
0.000 0.000 3.779
ATOMIC_POSITIONS crystal
Pd 0.000 0.000 0.000
Pt 0.500 0.500 0.500
I 0.000 0.500 0.000
I 0.500 0.000 0.000
O 0.000 0.000 0.500
! formation energy (no corrections): 0.521 eV/atom
! SG: No. 123

---

! Rb6PdI2O | Alexandria via LeMat-Bulk | PBE-GGA | relaxed; values from VASP
&SYSTEM
  ibrav = 0, nat = 20, ntyp = 4
/
ATOMIC_SPECIES
Rb 85.47 Rb.upf
Pd 106.42 Pd.upf
I 126.90 I.upf
O 16.00 O.upf
CELL_PARAMETERS angstrom
8.356 0.000 0.000
0.000 12.068 0.000
0.000 0.000 8.936
ATOMIC_POSITIONS crystal
Rb 0.001 0.250 0.068
Rb 0.019 0.250 0.509
Rb 0.250 0.018 0.278
Rb 0.250 0.482 0.278
Rb 0.481 0.250 0.509
Rb 0.499 0.250 0.068
Rb 0.501 0.750 0.932
Rb 0.519 0.750 0.491
Rb 0.750 0.518 0.722
Rb 0.750 0.982 0.722
Rb 0.981 0.750 0.491
Rb 0.999 0.750 0.932
Pd 0.250 0.750 0.214
Pd 0.750 0.250 0.786
I 0.250 0.523 0.702
I 0.250 0.977 0.702
I 0.750 0.023 0.298
I 0.750 0.477 0.298
O 0.250 0.250 0.275
O 0.750 0.750 0.725
! formation energy (no corrections): -0.829 eV/atom
! SG: No. 59

---

! Rb2PdIO6 | Alexandria via LeMat-Bulk | PBE-GGA | relaxed; values from VASP
&SYSTEM
  ibrav = 0, nat = 20, ntyp = 4
/
ATOMIC_SPECIES
Rb 85.47 Rb.upf
Pd 106.42 Pd.upf
I 126.90 I.upf
O 16.00 O.upf
CELL_PARAMETERS angstrom
3.012 1.739 9.864
-3.012 1.739 9.864
0.000 -3.478 9.864
ATOMIC_POSITIONS crystal
Rb 0.125 0.125 0.125
Rb 0.284 0.284 0.284
Rb 0.716 0.716 0.716
Rb 0.875 0.875 0.875
Pd 0.406 0.406 0.406
Pd 0.594 0.594 0.594
I 0.000 0.000 0.000
I 0.500 0.500 0.500
O 0.173 0.603 0.603
O 0.194 0.194 0.733
O 0.194 0.733 0.194
O 0.267 0.806 0.806
O 0.397 0.397 0.827
O 0.397 0.827 0.397
O 0.603 0.173 0.603
O 0.603 0.603 0.173
O 0.733 0.194 0.194
O 0.806 0.267 0.806
O 0.806 0.806 0.267
O 0.827 0.397 0.397
! formation energy (no corrections): -0.713 eV/atom
! SG: No. 166

---

! RePdIO2 | Alexandria via LeMat-Bulk | PBE-GGA | relaxed; values from VASP
&SYSTEM
  ibrav = 0, nat = 5, ntyp = 4
/
ATOMIC_SPECIES
Re 186.21 Re.upf
Pd 106.42 Pd.upf
I 126.90 I.upf
O 16.00 O.upf
CELL_PARAMETERS angstrom
3.820 0.000 0.000
0.000 3.820 0.000
0.000 0.000 5.959
ATOMIC_POSITIONS crystal
Re 0.000 0.000 0.000
Pd 0.500 0.500 0.500
I 0.000 0.000 0.500
O 0.000 0.500 0.000
O 0.500 0.000 0.000
! formation energy (no corrections): -0.602 eV/atom
! SG: No. 123

---

Copy entry 6 word for word.
! RePdIO2 | Alexandria via LeMat-Bulk | PBE-GGA | relaxed; values from VASP
&SYSTEM
  ibrav = 0, nat = 5, ntyp = 4
/
ATOMIC_SPECIES
Re 186.21 Re.upf
Pd 106.42 Pd.upf
I 126.90 I.upf
O 16.00 O.upf
CELL_PARAMETERS angstrom
3.820 0.000 0.000
0.000 3.820 0.000
0.000 0.000 5.959
ATOMIC_POSITIONS crystal
Re 0.000 0.000 0.000
Pd 0.500 0.500 0.500
I 0.000 0.000 0.500
O 0.000 0.500 0.000
O 0.500 0.000 0.000
! formation energy (no corrections): -0.602 eV/atom
! SG: No. 123

---

- Which formula does entry 5 have?
  Rb2PdIO6